(1)
Here is a geometry-optimized Ba2Li16Mg structure from Alexandria via LeMat-Bulk. Energies are from PBE-GGA.

a = 10.5047 Å, b = 10.5047 Å, c = 15.2239 Å
α = 90.00°, β = 90.00°, γ = 120.00°
With the nearest neighbours (Å) after each atom.
Space group R3m (No. 160, hexagonal axes)
Inequivalent atoms, fractional coordinates:
Ba 0.0000 0.0000 0.0000  19 Li 3.82-4.13
Ba 0.0000 0.0000 0.3026  18 Li 3.82-4.09, 1 Mg 3.88
Li 0.0000 0.0000 0.7486  1 Mg 2.91, 6 Li 3.15-3.23
Li 0.9997 0.2796 0.6511  6 Li 2.93-3.12, 1 Mg 3.27
Li 0.0028 0.5014 0.1510  9 Li 2.95-3.23, 1 Mg 3.21
Li 0.0160 0.5080 0.4972  9 Li 2.98-3.30
Li 0.1753 0.3507 0.1379  8 Li 2.95-3.29, 1 Mg 3.16
Mg 0.0000 0.0000 0.5572  7 Li 2.91-3.21

Computed properties:
Total moment   0.00 μB/f.u.
Electronic total energy   -1.88 eV per atom

=====

(2)
Here is a geometry-optimized Ba8LiMg2 structure from Alexandria via LeMat-Bulk. Energies are from PBE-GGA.

a = 21.7169 Å, b = 6.2545 Å, c = 8.7499 Å
α = 90.00°, β = 108.83°, γ = 90.00°
With the nearest neighbours (Å) after each atom.
Space group C2/m (No. 12)
Inequivalent atoms, fractional coordinates:
Ba 0.0287 0.0000 0.2839  1 Mg 3.64, 2 Li 3.81
Ba 0.0964 0.5000 0.9527  1 Li 3.84, 2 Mg 3.93, 6 Ba 4.19-4.29
Ba 0.1679 0.5000 0.4584  3 Mg 3.62-3.92, 1 Li 3.78
Ba 0.1985 0.0000 0.8003  3 Mg 3.64-4.06
Li 0.0000 0.5000 0.5000  8 Ba 3.78-3.84
Mg 0.1828 0.0000 0.2023  7 Ba 3.62-3.93

Computed properties:
Total moment   0.00 μB/f.u.
Relative energy among the computed polymorphs   0 meV per atom

=====

(3)
Here is a geometry-optimized Ba2Li3Mg structure from Alexandria via LeMat-Bulk. Energies are from PBE-GGA.

a = 11.4633 Å, b = 6.6008 Å, c = 6.6516 Å
α = 90.00°, β = 125.12°, γ = 90.00°
With the nearest neighbours (Å) after each atom.
Space group C2/m (No. 12)
Inequivalent atoms, fractional coordinates:
Ba 0.1252 0.0000 0.3757  3 Mg 3.87-3.88, 9 Li 3.88-3.90, 4 Ba 4.05-4.09
Li 0.0000 0.5000 0.0000  4 Li 3.31, 2 Mg 3.33
Li 0.2500 0.2500 0.0000  4 Li 3.30-3.31, 2 Mg 3.32
Mg 0.0000 0.5000 0.5000  6 Li 3.32-3.33

Computed properties:
Total moment   0.00 μB/f.u.
Electronic total energy   -1.86 eV per atom

=====

(4)
Here is a geometry-optimized Ba3Li2Mg7 structure from Alexandria via LeMat-Bulk. Energies are from PBE-GGA.

a = 6.5201 Å, b = 6.5201 Å, c = 30.6108 Å
α = 90.00°, β = 90.00°, γ = 120.00°
With the nearest neighbours (Å) after each atom.
Space group R-3m (No. 166, hexagonal axes)
Inequivalent atoms, fractional coordinates:
Ba 0.0000 0.0000 0.0000  6 Li 3.76, 12 Mg 4.06
Ba 0.0000 0.0000 0.1439  12 Mg 3.82-3.88, 3 Ba 4.01
Li 0.0000 0.0000 0.3326  6 Mg 3.06-3.07
Mg 0.0000 0.0000 0.5000  6 Mg 3.27
Mg 0.0038 0.5019 0.0789  2 Li 3.06-3.07, 5 Mg 3.22-3.30

Computed properties:
Total moment   0.00 μB/f.u.
Electronic total energy   -1.79 eV per atom

=====

(5)
Here is a geometry-optimized BaLi10Mg2 structure from Alexandria via LeMat-Bulk. Energies are from PBE-GGA.

a = 5.9416 Å, b = 14.5090 Å, c = 14.8673 Å
α = 90.00°, β = 90.00°, γ = 90.00°
With the nearest neighbours (Å) after each atom.
Space group Fmmm (No. 69)
Inequivalent atoms, fractional coordinates:
Ba 0.0000 0.0000 0.0000  16 Li 3.76-3.92, 4 Mg 4.00
Li 0.0000 0.1169 0.3841  6 Li 2.98-3.26, 2 Mg 3.01
Li 0.0000 0.1797 0.1819  3 Li 2.87-3.14, 2 Mg 3.17
Li 0.2500 0.2500 0.0000  10 Li 2.97-3.25
Mg 0.2500 0.0000 0.2500  2 Mg 2.97, 8 Li 3.01-3.17

Computed properties:
Total moment   0.00 μB/f.u.
Relative energy among the computed polymorphs   0 meV per atom

=====

(6)
Here is a geometry-optimized BaLi4Mg structure from Alexandria via LeMat-Bulk. Energies are from PBE-GGA.

a = 8.5815 Å, b = 8.5815 Å, c = 8.5815 Å
α = 90.00°, β = 90.00°, γ = 90.00°
With the nearest neighbours (Å) after each atom.
Space group F-43m (No. 216)
Inequivalent atoms, fractional coordinates:
Ba 0.0000 0.0000 0.0000  12 Li 3.57, 4 Mg 3.72
Li 0.1214 0.1214 0.6214  6 Li 2.95-3.12
Mg 0.2500 0.2500 0.2500  12 Li 3.55, 4 Ba 3.72

Computed properties:
Total moment   0.00 μB/f.u.
Electronic total energy   -1.87 eV per atom

=====

(7)
Here is a geometry-optimized Ba3Li2Mg structure from Alexandria via LeMat-Bulk. Energies are from PBE-GGA.

a = 6.2317 Å, b = 18.6938 Å, c = 4.3925 Å
α = 90.00°, β = 90.00°, γ = 90.00°
With the nearest neighbours (Å) after each atom.
Space group Cmmm (No. 65)
Inequivalent atoms, fractional coordinates:
Ba 0.0000 0.0000 0.0000  4 Li 3.80, 4 Mg 3.81
Ba 0.0000 0.3356 0.0000  2 Mg 3.78, 6 Li 3.81-3.86
Li 0.0000 0.1657 0.5000  8 Ba 3.80-3.86
Mg 0.0000 0.5000 0.5000  8 Ba 3.78-3.81

Computed properties:
Total moment   0.00 μB/f.u.
Relative energy among the computed polymorphs   0 meV per atom

=====

(8)
Here is a geometry-optimized Ba2Li9Mg6 structure from Alexandria via LeMat-Bulk. Energies are from PBE-GGA.

a = 6.1619 Å, b = 6.1619 Å, c = 15.0777 Å
α = 90.00°, β = 90.00°, γ = 120.00°
With the nearest neighbours (Å) after each atom.
Space group P6/mmm (No. 191)
Inequivalent atoms, fractional coordinates:
Ba 0.0000 0.0000 0.1749  6 Mg 3.56, 6 Li 3.91
Li 0.0000 0.5000 0.0000  4 Mg 3.08, 4 Li 3.08
Li 0.0000 0.5000 0.3349  4 Mg 3.06-3.10, 4 Li 3.08
Mg 0.3333 0.6667 0.1666  6 Li 3.08-3.10
Mg 0.3333 0.6667 0.5000  6 Li 3.06

Computed properties:
Total moment   0.00 μB/f.u.
Electronic total energy   -1.74 eV per atom

=====

(9)
Here is a geometry-optimized Ba4LiMg2 structure from Alexandria via LeMat-Bulk. Energies are from PBE-GGA.

a = 8.7521 Å, b = 8.7521 Å, c = 8.6672 Å
α = 90.00°, β = 90.00°, γ = 90.00°
With the nearest neighbours (Å) after each atom.
Space group I4/mmm (No. 139)
Inequivalent atoms, fractional coordinates:
Ba 0.2500 0.2500 0.2500  2 Li 3.78, 4 Mg 3.78
Li 0.0000 0.0000 0.0000  8 Ba 3.78
Mg 0.0000 0.5000 0.0000  8 Ba 3.78

Computed properties:
Total moment   0.00 μB/f.u.
Electronic total energy   -1.78 eV per atom

=====

(10)
Here is a geometry-optimized Ba8LiMg2 structure from Alexandria via LeMat-Bulk. Energies are from PBE-GGA.

a = 6.1810 Å, b = 10.7415 Å, c = 16.9213 Å
α = 90.00°, β = 90.00°, γ = 90.00°
With the nearest neighbours (Å) after each atom.
Space group Immm (No. 71)
Inequivalent atoms, fractional coordinates:
Ba 0.0000 0.0000 0.1316  2 Li 3.81, 4 Ba 4.17-4.21, 2 Mg 4.21
Ba 0.0000 0.2125 0.3404  3 Mg 3.90, 1 Li 4.10, 3 Ba 4.13-4.21
Ba 0.0000 0.3278 0.0000  5 Ba 3.70-4.13, 2 Mg 3.85
Li 0.0000 0.5000 0.5000  8 Ba 3.81-4.10
Mg 0.0000 0.5000 0.1995  10 Ba 3.85-4.21

Computed properties:
Total moment   0.00 μB/f.u.
Relative energy among the computed polymorphs   34 meV per atom

=====

(11)
Here is a geometry-optimized BaLi7Mg5 structure from Alexandria via LeMat-Bulk. Energies are from PBE-GGA.

a = 6.0332 Å, b = 10.4757 Å, c = 10.3312 Å
α = 90.00°, β = 90.00°, γ = 90.00°
With the nearest neighbours (Å) after each atom.
Space group Imm2 (No. 44)
Inequivalent atoms, fractional coordinates:
Ba 0.0000 0.0000 0.0000  10 Li 3.68-3.84, 10 Mg 3.79-4.01
Li 0.0000 0.0000 0.3558  3 Li 2.97-3.24, 6 Mg 3.23-3.32
Li 0.0000 0.0000 0.6433  5 Li 2.97-3.30, 4 Mg 3.20
Li 0.0000 0.2730 0.5031  5 Mg 2.99-3.28, 4 Li 3.21-3.31
Li 0.0000 0.3581 0.0004  4 Li 2.97-3.31, 5 Mg 3.20-3.24
Li 0.0000 0.5000 0.2718  4 Mg 3.00, 4 Li 3.17-3.30
Mg 0.0000 0.5000 0.7222  4 Mg 3.07, 6 Li 3.24-3.32
Mg 0.2505 0.2470 0.7520  7 Li 2.99-3.23, 3 Mg 3.01-3.07

Computed properties:
Total moment   0.00 μB/f.u.
Electronic total energy   -1.81 eV per atom

=====

(12)
Here is a geometry-optimized Ba2LiMg2 structure from Alexandria via LeMat-Bulk. Energies are from PBE-GGA.

a = 4.3698 Å, b = 4.3698 Å, c = 21.5529 Å
α = 90.00°, β = 90.00°, γ = 90.00°
With the nearest neighbours (Å) after each atom.
Space group I4/mmm (No. 139)
Inequivalent atoms, fractional coordinates:
Ba 0.0000 0.0000 0.1044  4 Li 3.82, 4 Mg 3.82
Li 0.0000 0.0000 0.5000  8 Ba 3.82
Mg 0.0000 0.5000 0.2500  4 Mg 3.09

Computed properties:
Total moment   0.00 μB/f.u.
Relative energy among the computed polymorphs   140 meV per atom

=====

(13)
Here is a geometry-optimized Ba6Li5Mg structure from Alexandria via LeMat-Bulk. Energies are from PBE-GGA.

a = 6.2168 Å, b = 8.8889 Å, c = 9.8268 Å
α = 90.00°, β = 108.51°, γ = 90.00°
With the nearest neighbours (Å) after each atom.
Space group P2/m (No. 10)
Inequivalent atoms, fractional coordinates:
Ba 0.0000 0.2452 0.0000  6 Li 3.78-3.86, 2 Mg 3.80
Ba 0.3355 0.2465 0.6697  1 Mg 3.78, 7 Li 3.80-3.85
Li 0.1643 0.0000 0.3310  8 Ba 3.78-3.84
Li 0.1662 0.5000 0.3352  8 Ba 3.84-3.86
Li 0.5000 0.5000 0.0000  8 Ba 3.81-3.85
Mg 0.5000 0.0000 0.0000  8 Ba 3.78-3.80

Computed properties:
Total moment   0.00 μB/f.u.
Electronic total energy   -1.86 eV per atom

=====

(14)
Here is a geometry-optimized BaLi3Mg9 structure from Alexandria via LeMat-Bulk. Energies are from PBE-GGA.

a = 5.5993 Å, b = 15.0996 Å, c = 8.0585 Å
α = 90.00°, β = 109.74°, γ = 90.00°
With the nearest neighbours (Å) after each atom.
Space group C2/m (No. 12)
Inequivalent atoms, fractional coordinates:
Ba 0.0000 0.0000 0.0000  14 Mg 3.69-4.03, 6 Li 4.03-4.06
Li 0.0000 0.5000 0.5000  6 Mg 2.80-3.05
Li 0.2500 0.2500 0.0000  2 Li 2.80, 4 Mg 2.99-3.00
Mg 0.0000 0.0000 0.5000  2 Li 2.80, 4 Mg 3.09
Mg 0.1067 0.3859 0.2204  3 Li 2.99-3.05, 6 Mg 3.09-3.35
Mg 0.1783 0.1798 0.3577  6 Mg 3.03-3.35, 3 Li 3.22-3.25

Computed properties:
Total moment   0.00 μB/f.u.
Electronic total energy   -1.75 eV per atom

=====

(15)
Here is a geometry-optimized BaLi10Mg structure from Alexandria via LeMat-Bulk. Energies are from PBE-GGA.

a = 4.8215 Å, b = 5.9372 Å, c = 10.2512 Å
α = 90.00°, β = 90.00°, γ = 90.00°
With the nearest neighbours (Å) after each atom.
Space group Pmmm (No. 47)
Inequivalent atoms, fractional coordinates:
Ba 0.0000 0.0000 0.0000  10 Li 3.60-3.82
Li 0.0000 0.0000 0.3562  7 Li 2.83-2.98
Li 0.0000 0.5000 0.1986  6 Li 2.91-3.16, 1 Mg 3.09
Li 0.5000 0.0000 0.5000  8 Li 2.74-2.83
Li 0.5000 0.2665 0.2816  6 Li 2.74-2.98
Li 0.5000 0.5000 0.0000  8 Li 3.16-3.20
Mg 0.0000 0.5000 0.5000  6 Li 3.09-3.31

Computed properties:
Total moment   0.00 μB/f.u.
Electronic total energy   -1.83 eV per atom

=====

(16)
Here is a geometry-optimized Ba8Li2Mg structure from Alexandria via LeMat-Bulk. Energies are from PBE-GGA.

a = 21.7932 Å, b = 6.3066 Å, c = 8.7370 Å
α = 90.00°, β = 109.39°, γ = 90.00°
With the nearest neighbours (Å) after each atom.
Space group C2/m (No. 12)
Inequivalent atoms, fractional coordinates:
Ba 0.0281 0.0000 0.2898  1 Li 3.64, 2 Mg 3.80
Ba 0.0924 0.5000 0.9454  1 Mg 3.74, 2 Li 3.98, 2 Ba 4.18
Ba 0.1667 0.5000 0.4658  3 Li 3.62-3.97, 1 Mg 3.74
Ba 0.1966 0.0000 0.8052  1 Li 3.61
Li 0.1802 0.0000 0.2030  7 Ba 3.61-3.98
Mg 0.0000 0.5000 0.5000  8 Ba 3.74-3.80

Computed properties:
Total moment   0.00 μB/f.u.
Relative energy among the computed polymorphs   0 meV per atom

=====

(17)
Here is a geometry-optimized Ba3LiMg structure from Alexandria via LeMat-Bulk. Energies are from PBE-GGA.

a = 6.8136 Å, b = 6.8136 Å, c = 6.8136 Å
α = 90.00°, β = 90.00°, γ = 90.00°
With the nearest neighbours (Å) after each atom.
Space group Pm-3m (No. 221)
Inequivalent atoms, fractional coordinates:
Ba 0.0000 0.0000 0.5000  2 Mg 3.41
Li 0.5000 0.5000 0.5000  12 Ba 4.82
Mg 0.0000 0.0000 0.0000  6 Ba 3.41

Computed properties:
Total moment   0.00 μB/f.u.
Relative energy among the computed polymorphs   278 meV per atom

=====

(18)
Here is a geometry-optimized Ba4LiMg structure from Alexandria via LeMat-Bulk. Energies are from PBE-GGA.

a = 6.1911 Å, b = 6.1911 Å, c = 30.1929 Å
α = 90.00°, β = 90.00°, γ = 120.00°
With the nearest neighbours (Å) after each atom.
Space group R-3m (No. 166, hexagonal axes)
Inequivalent atoms, fractional coordinates:
Ba 0.0000 0.0000 0.1227  1 Mg 3.71, 3 Li 3.81
Ba 0.0000 0.0000 0.3725  3 Mg 3.76, 1 Li 3.85
Li 0.0000 0.0000 0.5000  8 Ba 3.81-3.85
Mg 0.0000 0.0000 0.0000  8 Ba 3.71-3.76

Computed properties:
Total moment   0.05 μB/f.u.
Relative energy among the computed polymorphs   154 meV per atom

=====

(19)
Here is a geometry-optimized BaLi5Mg7 structure from Alexandria via LeMat-Bulk. Energies are from PBE-GGA.

a = 5.5690 Å, b = 10.6817 Å, c = 10.6550 Å
α = 90.00°, β = 90.00°, γ = 90.00°
With the nearest neighbours (Å) after each atom.
Space group Imm2 (No. 44)
Inequivalent atoms, fractional coordinates:
Ba 0.0000 0.0000 0.0000  10 Mg 3.68-3.84, 10 Li 3.69-4.05
Li 0.0000 0.5000 0.2729  4 Li 3.01, 4 Mg 3.10-3.25
Li 0.2485 0.2505 0.2541  3 Li 2.77-3.01, 3 Mg 3.01-3.03
Mg 0.0000 0.0000 0.3600  5 Mg 3.03-3.32, 4 Li 3.22
Mg 0.0000 0.0000 0.6443  3 Mg 3.03-3.29, 6 Li 3.10-3.23
Mg 0.0000 0.2750 0.5056  4 Li 3.01-3.03, 5 Mg 3.13-3.36
Mg 0.0000 0.3589 0.0028  4 Mg 3.01-3.31, 5 Li 3.22-3.25
Mg 0.0000 0.5000 0.7261  4 Li 3.03, 6 Mg 3.13-3.36

Computed properties:
Total moment   0.00 μB/f.u.
Electronic total energy   -1.78 eV per atom

=====

(20)
Here is a geometry-optimized BaLi9Mg4 structure from Alexandria via LeMat-Bulk. Energies are from PBE-GGA.

a = 9.9348 Å, b = 9.9348 Å, c = 13.7177 Å
α = 90.00°, β = 90.00°, γ = 90.00°
With the nearest neighbours (Å) after each atom.
Space group I4/mcm (No. 140)
Inequivalent atoms, fractional coordinates:
Ba 0.0000 0.0000 0.2500  16 Li 4.03-4.14, 8 Mg 4.05
Li 0.0000 0.5000 0.0000  8 Li 2.89-2.98, 4 Mg 3.06
Li 0.0580 0.2058 0.0000  6 Li 2.98-3.32, 4 Mg 3.04-3.11
Li 0.1115 0.3885 0.1770  6 Li 2.89-3.13, 4 Mg 2.98-3.13
Mg 0.1842 0.3158 0.3810  9 Li 2.98-3.13, 1 Mg 3.27

Computed properties:
Total moment   0.00 μB/f.u.
Electronic total energy   -1.84 eV per atom